Entry 1:
The following is a DFT calculation (SCAN) of a crystal of BaPbAu4 relaxed with PBEsol.

Cell: 8.099 8.099 8.099 Å, 90.00 90.00 90.00°
Space group F-43m (No. 216)
Inequivalent atoms, fractional coordinates:
Ba: 0.000 0.000 0.000
Pb: 0.250 0.250 0.750
Au: 0.125 0.125 0.375

Summary:
**Energy of formation**: -0.40 eV per atom

Entry 2:
The following is a DFT calculation (SCAN) of a crystal of TlAgTe2 relaxed with PBEsol.

Cell: 4.246 4.246 5.980 Å, 90.00 90.00 90.00°
Space group P4/mmm (No. 123)
Inequivalent atoms, fractional coordinates:
Tl: 0.000 0.000 0.000
Ag: 0.500 0.500 0.500
Te: 0.000 0.000 0.500
Te: 0.500 0.500 0.000

Summary:
**Formation energy without anion corrections**: -0.03 eV/atom

Entry 3:
The following is a DFT calculation (SCAN) of a crystal of InTc2Sn relaxed with PBEsol.

Cell: 6.429 6.429 6.429 Å, 90.00 90.00 90.00°
Space group Fm-3m (No. 225)
Inequivalent atoms, fractional coordinates:
In: 0.000 0.000 0.000
Tc: 0.250 0.250 0.250
Sn: 0.000 0.000 0.500

Summary:
**Energy of formation**: 0.36 eV per atom

Entry 4:
The following is a DFT calculation (SCAN) of a crystal of InTc2Cl relaxed with PBEsol.

Cell: 2.9092 2.9092 25.2340 Å, 90.00 90.00 120.00°
Space group R-3m (No. 166, hexagonal axes)
Inequivalent atoms, fractional coordinates:
In: 0.0000 0.0000 0.0000
Tc: 0.0000 0.0000 0.2431
Cl: 0.0000 0.0000 0.5000

Summary:
**Formation energy without anion corrections**: 0.55 eV/atom

Entry 5:
The following is a DFT calculation (SCAN) of a crystal of K3HfBe relaxed with PBEsol.

Cell: 6.089 6.089 6.089 Å, 90.00 90.00 90.00°
Space group Pm-3m (No. 221)
Inequivalent atoms, fractional coordinates:
K: 0.000 0.000 0.500
Hf: 0.500 0.500 0.500
Be: 0.000 0.000 0.000

Summary:
**Energy of formation**: 1.55 eV per atom

Entry 6:
The following is a DFT calculation (SCAN) of a crystal of Zn2AgMo relaxed with PBEsol.

Cell: 2.673 2.673 8.182 Å, 90.00 90.00 90.00°
Space group P4/mmm (No. 123)
Inequivalent atoms, fractional coordinates:
Zn: 0.000 0.000 0.248
Ag: 0.500 0.500 0.500
Mo: 0.500 0.500 0.000

Summary:
**Polymorph energy (0 for the lowest one)**: 0 meV/atom
**Energy of formation**: 0.04 eV per atom

Computed values of size of the total moment (unit: μB/atom) for the preceding records, in sequence: 0.0000, 0.0000, 0.0035, 0.0006, 0.7101, 0.0000.
Computed values of energy (unit: eV/cell) for the preceding records, in sequence: -1577.437, -178.334, -551.945, -327.817, -84.257, -93.130.